Entry 1:
The following is a PBE calculation of crystalline Tl5Ir2O12 at its relaxed geometry, from the Alexandria database.

abc: 6.960 6.960 7.379
angles: 105.57 105.57 52.06
Sites, in units of the cell vectors:
Tl 0.000 0.000 0.000
Tl 0.299 0.299 0.132
Tl 0.307 0.307 0.676
Tl 0.693 0.693 0.324
Tl 0.701 0.701 0.868
Ir 0.248 0.752 0.500
Ir 0.752 0.248 0.500
O 0.001 0.001 0.329
O 0.096 0.603 0.929
O 0.111 0.568 0.418
O 0.397 0.904 0.071
O 0.432 0.889 0.582
O 0.499 0.499 0.318
O 0.501 0.501 0.682
O 0.568 0.111 0.418
O 0.603 0.096 0.929
O 0.889 0.432 0.582
O 0.904 0.397 0.071
O 0.999 0.999 0.671

Output
**Electronic total energy**: -5.345 eV per atom
**Formation energy without anion corrections**: -0.6583 eV/atom
**Space-group type**: No. 12

=====

Entry 2:
The following is a PBE calculation of crystalline Pm4HoPd5 at its relaxed geometry, from the Alexandria database.

abc: 3.538 3.538 18.272
angles: 90.00 90.00 90.00
Sites, in units of the cell vectors:
Pm 0.000 0.000 0.101
Pm 0.000 0.000 0.304
Pm 0.000 0.000 0.696
Pm 0.000 0.000 0.899
Ho 0.000 0.000 0.500
Pd 0.500 0.500 0.000
Pd 0.500 0.500 0.203
Pd 0.500 0.500 0.408
Pd 0.500 0.500 0.592
Pd 0.500 0.500 0.797

Output
**Electronic total energy**: -5.746 eV per atom
**Energy of formation**: -792 meV per atom
**Space-group type**: No. 123

=====

Entry 3:
The following is a PBE calculation of crystalline Gd2PuSc at its relaxed geometry, from the Alexandria database.

abc: 5.626 5.626 3.669
angles: 90.00 90.00 90.00
Sites, in units of the cell vectors:
Gd 0.000 0.500 0.000
Gd 0.500 0.000 0.000
Pu 0.000 0.000 0.500
Sc 0.500 0.500 0.500

Output
**Distance to the lowest polymorph of the same formula**: 0.025 eV/atom
**Electronic total energy**: -12.050 eV per atom
**Energy of formation**: 156 meV per atom
**Space-group type**: No. 123

=====

Entry 4:
The following is a PBE calculation of crystalline LiAcPrTl2 at its relaxed geometry, from the Alexandria database.

abc: 6.149 7.148 6.771
angles: 90.00 90.00 90.00
Sites, in units of the cell vectors:
Li 0.000 0.000 0.000
Li 0.500 0.000 0.000
Ac 0.250 0.500 0.258
Ac 0.750 0.500 0.742
Pr 0.250 0.000 0.407
Pr 0.750 0.000 0.593
Tl 0.250 0.266 0.781
Tl 0.250 0.734 0.781
Tl 0.750 0.266 0.219
Tl 0.750 0.734 0.219

Output
**Electronic total energy**: -3.306 eV per atom
**Energy of formation**: -199 meV per atom
**Space-group type**: No. 51

=====

Entry 5:
The following is a PBE calculation of crystalline CdTeAu at its relaxed geometry, from the Alexandria database.

abc: 4.422 4.422 4.462
angles: 90.00 90.00 120.00
Sites, in units of the cell vectors:
Cd 0.000 0.000 0.000
Te 0.667 0.333 0.401
Au 0.333 0.667 0.698

Output
**Distance to the lowest polymorph of the same formula**: 0.112 eV/atom
**Electronic total energy**: -2.504 eV per atom
**Formation energy without anion corrections**: -0.0597 eV/atom
**Space-group type**: No. 156

=====

Entry 6:
The following is a PBE calculation of crystalline PmNd2DySe6 at its relaxed geometry, from the Alexandria database.

abc: 7.843 7.843 7.843
angles: 56.35 56.35 56.35
Sites, in units of the cell vectors:
Pm 0.000 0.000 0.000
Nd 0.297 0.297 0.297
Nd 0.799 0.799 0.799
Dy 0.498 0.498 0.498
Se 0.108 0.702 0.395
Se 0.212 0.605 0.885
Se 0.395 0.108 0.702
Se 0.605 0.885 0.212
Se 0.702 0.395 0.108
Se 0.885 0.212 0.605

Output
**Electronic total energy**: -5.822 eV per atom
**Formation energy without anion corrections**: -1.8423 eV/atom
**Space-group type**: No. 146

=====

Entry 7:
The following is a PBE calculation of crystalline Li3BrO at its relaxed geometry, from the Alexandria database.

abc: 4.542 4.542 4.542
angles: 90.00 90.00 90.00
Sites, in units of the cell vectors:
Li 0.000 0.000 0.500
Li 0.000 0.500 0.000
Li 0.500 0.000 0.000
Br 0.000 0.000 0.000
O 0.500 0.500 0.500

Output
**Distance to the lowest polymorph of the same formula**: 1.096 eV/atom
**Electronic total energy**: -3.076 eV per atom
**Formation energy without anion corrections**: -0.6013 eV/atom
**Space-group type**: No. 221

=====

Entry 8:
The following is a PBE calculation of crystalline Mg5InRh at its relaxed geometry, from the Alexandria database.

abc: 5.877 5.877 9.955
angles: 104.75 104.75 91.52
Sites, in units of the cell vectors:
Mg 0.146 0.854 0.750
Mg 0.249 0.609 0.975
Mg 0.289 0.335 0.673
Mg 0.335 0.289 0.173
Mg 0.391 0.751 0.525
Mg 0.609 0.249 0.475
Mg 0.665 0.711 0.827
Mg 0.711 0.665 0.327
Mg 0.751 0.391 0.025
Mg 0.854 0.146 0.250
In 0.179 0.821 0.250
In 0.821 0.179 0.750
Rh 0.000 0.000 0.000
Rh 0.000 0.000 0.500

Output
**Distance to the lowest polymorph of the same formula**: 0.061 eV/atom
**Electronic total energy**: -2.652 eV per atom
**Energy of formation**: -72 meV per atom
**Space-group type**: No. 15

=====

Question: Which of these has the lowest electronic total energy?
Answer: Gd2PuSc